Entry 1:
Below is an optimized crystal structure of Mo2RuAu, with properties calculated at the GGA-PBE level.

Cell: 6.3604 6.3604 6.3604 Å, 90.00 90.00 90.00°
Atoms (fractional coordinates):
Mo  0.2500  0.2500  0.2500
Mo  0.2500  0.2500  0.7500
Mo  0.2500  0.7500  0.2500
Mo  0.2500  0.7500  0.7500
Mo  0.7500  0.2500  0.2500
Mo  0.7500  0.2500  0.7500
Mo  0.7500  0.7500  0.2500
Mo  0.7500  0.7500  0.7500
Ru  0.0000  0.0000  0.0000
Ru  0.0000  0.5000  0.5000
Ru  0.5000  0.0000  0.5000
Ru  0.5000  0.5000  0.0000
Au  0.0000  0.0000  0.5000
Au  0.0000  0.5000  0.0000
Au  0.5000  0.0000  0.0000
Au  0.5000  0.5000  0.5000

E_tot: -127.88 eV/cell
Symmetry: Fm-3m
Calculated formation energy: 0.5617 eV/atom
Polymorph energy (0 for the lowest one): 471 meV per atom
Crystal system: cubic


Entry 2:
Below is an optimized crystal structure of PrEuH, with properties calculated at the GGA-PBE level.

Cell: 3.7719 3.7719 6.1343 Å, 90.00 90.00 120.00°
Atoms (fractional coordinates):
Pr  0.0000  0.0000  0.0000
Eu  0.3333  0.6667  0.4752
H  0.6667  0.3333  0.2267

E_tot: -18.97 eV/cell
Symmetry: P3m1
Polymorph energy (0 for the lowest one): 0 meV per atom
Crystal system: trigonal


Entry 3:
Below is an optimized crystal structure of Sr2SbPt, with properties calculated at the GGA-PBE level.

Cell: 7.0096 8.1187 4.0206 Å, 90.00 90.00 90.00°
Atoms (fractional coordinates):
Sr  0.2500  0.2500  0.0000
Sr  0.2500  0.7500  0.0000
Sr  0.7500  0.2500  0.0000
Sr  0.7500  0.7500  0.0000
Sb  0.0000  0.0000  0.5000
Sb  0.5000  0.5000  0.5000
Pt  0.0000  0.5000  0.5000
Pt  0.5000  0.0000  0.5000

E_tot: -32.90 eV/cell
Symmetry: Cmmm
Formation energy (no corrections): -0.731 eV/atom
Crystal system: orthorhombic


Entry 4:
Below is an optimized crystal structure of ScCd, with properties calculated at the GGA-PBE level.

Cell: 7.3750 7.3750 3.2170 Å, 90.00 90.00 120.00°
Atoms (fractional coordinates):
Sc  0.0000  0.7572  0.0000
Sc  0.2428  0.2428  0.0000
Sc  0.7572  0.0000  0.0000
Cd  0.0000  0.4118  0.5000
Cd  0.4118  0.0000  0.5000
Cd  0.5882  0.5882  0.5000

E_tot: -21.53 eV/cell
Symmetry: P-62m
Calculated formation energy: 0.0349 eV/atom
Crystal system: hexagonal


Entry 5:
Below is an optimized crystal structure of CaAgAu, with properties calculated at the GGA-PBE level.

Cell: 4.7454 4.7454 3.6182 Å, 90.00 90.00 120.00°
Atoms (fractional coordinates):
Ca  0.0000  0.0000  0.0000
Ag  0.6667  0.3333  0.5000
Au  0.3333  0.6667  0.5000

E_tot: -9.63 eV/cell
Symmetry: P-6m2
Calculated formation energy: -0.4989 eV/atom
Polymorph energy (0 for the lowest one): 0 meV per atom
Crystal system: hexagonal


Entry 6:
Below is an optimized crystal structure of RbIn2As2, with properties calculated at the GGA-PBE level.

Cell: 4.7661 4.7661 14.2572 Å, 90.00 90.00 90.00°
Atoms (fractional coordinates):
Rb  0.0000  0.0000  0.0000
Rb  0.5000  0.5000  0.5000
In  0.0000  0.5000  0.2500
In  0.0000  0.5000  0.7500
In  0.5000  0.0000  0.2500
In  0.5000  0.0000  0.7500
As  0.0000  0.0000  0.3571
As  0.0000  0.0000  0.6429
As  0.5000  0.5000  0.1429
As  0.5000  0.5000  0.8571

E_tot: -34.33 eV/cell
Symmetry: I4/mmm
Calculated formation energy: -0.2841 eV/atom
Crystal system: tetragonal


Entry 7:
Below is an optimized crystal structure of ReTc2Ir, with properties calculated at the GGA-PBE level.

Cell: 2.7331 3.8953 5.5055 Å, 90.00 90.00 90.00°
Atoms (fractional coordinates):
Re  0.0000  0.0000  0.0000
Tc  0.5000  0.5000  0.2459
Tc  0.5000  0.5000  0.7541
Ir  0.0000  0.0000  0.5000

E_tot: -42.26 eV/cell
Symmetry: Pmmm
Calculated formation energy: -0.0555 eV/atom
Polymorph energy (0 for the lowest one): 123 meV per atom
Crystal system: orthorhombic


Entry 8:
Below is an optimized crystal structure of NdSm3Er2As6, with properties calculated at the GGA-PBE level.

Cell: 7.2417 7.2417 7.2434 Å, 99.59 99.59 119.97°
Atoms (fractional coordinates):
Nd  0.0000  0.0000  0.0000
Sm  0.1652  0.8348  0.5000
Sm  0.5000  0.5000  0.5000
Sm  0.8348  0.1652  0.5000
Er  0.3328  0.6672  0.0000
Er  0.6672  0.3328  0.0000
As  0.0821  0.4216  0.2461
As  0.2581  0.2581  0.7553
As  0.4216  0.0821  0.2461
As  0.5784  0.9179  0.7539
As  0.7419  0.7419  0.2447
As  0.9179  0.5784  0.7539

E_tot: -74.12 eV/cell
Symmetry: C2/m
Calculated formation energy: -1.5140 eV/atom
Crystal system: monoclinic


Entry 9:
Below is an optimized crystal structure of Ac5Sb2Se12, with properties calculated at the GGA-PBE level.

Cell: 9.3414 9.3414 9.7935 Å, 105.73 105.73 50.48°
Atoms (fractional coordinates):
Ac  0.0000  0.0000  0.0000
Ac  0.2963  0.2963  0.1489
Ac  0.3114  0.3114  0.6791
Ac  0.6886  0.6886  0.3209
Ac  0.7037  0.7037  0.8511
Sb  0.2492  0.7508  0.5000
Sb  0.7508  0.2492  0.5000
Se  0.0135  0.0135  0.6949
Se  0.0935  0.5702  0.4322
Se  0.1029  0.5996  0.9370
Se  0.4004  0.8971  0.0630
Se  0.4298  0.9065  0.5678
Se  0.4949  0.4949  0.2953
Se  0.5051  0.5051  0.7047
Se  0.5702  0.0935  0.4322
Se  0.5996  0.1029  0.9370
Se  0.8971  0.4004  0.0630
Se  0.9065  0.4298  0.5678
Se  0.9865  0.9865  0.3051

E_tot: -96.17 eV/cell
Symmetry: C2/m
Formation energy (no corrections): -1.346 eV/atom
Crystal system: monoclinic


Entry 10:
Below is an optimized crystal structure of TePd2Cl8, with properties calculated at the GGA-PBE level.

Cell: 7.8550 7.8550 6.4977 Å, 100.19 100.19 62.24°
Atoms (fractional coordinates):
Te  0.0000  0.0000  0.0000
Pd  0.2169  0.2169  0.7138
Pd  0.7831  0.7831  0.2862
Cl  0.0983  0.6823  0.1510
Cl  0.1272  0.1272  0.3533
Cl  0.3177  0.9017  0.8490
Cl  0.3674  0.3674  0.6141
Cl  0.6326  0.6326  0.3859
Cl  0.6823  0.0983  0.1510
Cl  0.8728  0.8728  0.6467
Cl  0.9017  0.3177  0.8490

E_tot: -31.05 eV/cell
Symmetry: C2/m
Formation energy (no corrections): -0.250 eV/atom
Crystal system: monoclinic


Entry 11:
Below is an optimized crystal structure of Tm7Sb3C2, with properties calculated at the GGA-PBE level.

Cell: 12.4117 12.4117 4.7195 Å, 90.00 90.00 157.73°
Atoms (fractional coordinates):
Tm  0.0000  0.0000  0.0000
Tm  0.0972  0.9028  0.5000
Tm  0.1974  0.8026  0.0000
Tm  0.4030  0.5970  0.0000
Tm  0.5970  0.4030  0.0000
Tm  0.8026  0.1974  0.0000
Tm  0.9028  0.0972  0.5000
Sb  0.3115  0.6885  0.5000
Sb  0.5000  0.5000  0.5000
Sb  0.6885  0.3115  0.5000
C  0.1000  0.9000  0.0000
C  0.9000  0.1000  0.0000

E_tot: -70.27 eV/cell
Symmetry: Cmmm
Formation energy (no corrections): -0.680 eV/atom
Crystal system: orthorhombic


Entry 12:
Below is an optimized crystal structure of NaAg6Sn4, with properties calculated at the GGA-PBE level.

Cell: 7.2571 7.2571 7.2571 Å, 121.80 121.80 86.91°
Atoms (fractional coordinates):
Na  0.0000  0.0000  0.0000
Ag  0.0000  0.5000  0.5000
Ag  0.2453  0.2453  0.6774
Ag  0.4321  0.7547  0.0000
Ag  0.5000  0.0000  0.5000
Ag  0.5679  0.5679  0.3226
Ag  0.7547  0.4321  0.0000
Sn  0.1021  0.5507  0.0000
Sn  0.4493  0.4493  0.5514
Sn  0.5507  0.1021  0.0000
Sn  0.8979  0.8979  0.4486

E_tot: -33.72 eV/cell
Symmetry: I-42m
Calculated formation energy: 0.0649 eV/atom
Crystal system: tetragonal


Entry 13:
Below is an optimized crystal structure of Tb3Y2Ho6In, with properties calculated at the GGA-PBE level.

Cell: 6.0741 6.0741 11.6358 Å, 95.01 95.01 120.02°
Atoms (fractional coordinates):
Tb  0.0000  0.0000  0.0000
Tb  0.3330  0.6670  0.0000
Tb  0.6670  0.3330  0.0000
Y  0.1662  0.8338  0.5000
Y  0.8338  0.1662  0.5000
Ho  0.0896  0.4182  0.2527
Ho  0.2535  0.2535  0.7486
Ho  0.4182  0.0896  0.2527
Ho  0.5818  0.9104  0.7473
Ho  0.7465  0.7465  0.2514
Ho  0.9104  0.5818  0.7473
In  0.5000  0.5000  0.5000

E_tot: -57.53 eV/cell
Symmetry: C2/m
Calculated formation energy: -0.0421 eV/atom
Crystal system: monoclinic


Entry 14:
Below is an optimized crystal structure of PmScP, with properties calculated at the GGA-PBE level.

Cell: 6.2751 6.6550 9.0977 Å, 90.00 124.63 90.00°
Atoms (fractional coordinates):
Pm  0.1435  0.0911  0.3841
Pm  0.1435  0.4089  0.8841
Pm  0.8565  0.5911  0.1159
Pm  0.8565  0.9089  0.6159
Sc  0.3580  0.5711  0.6125
Sc  0.3580  0.9289  0.1125
Sc  0.6420  0.0711  0.8875
Sc  0.6420  0.4289  0.3875
P  0.3677  0.7347  0.3587
P  0.3677  0.7653  0.8587
P  0.6323  0.2347  0.1413
P  0.6323  0.2653  0.6413

E_tot: -76.88 eV/cell
Symmetry: P2_1/c
Calculated formation energy: -0.9094 eV/atom
Polymorph energy (0 for the lowest one): 0 meV per atom
Crystal system: monoclinic


Entry 15:
Below is an optimized crystal structure of AlZnTc, with properties calculated at the GGA-PBE level.

Cell: 2.7510 2.7510 11.7831 Å, 90.00 90.00 90.00°
Atoms (fractional coordinates):
Al  0.0000  0.0000  0.0000
Al  0.5000  0.5000  0.5000
Zn  0.0000  0.0000  0.3238
Zn  0.5000  0.5000  0.8238
Tc  0.0000  0.0000  0.6574
Tc  0.5000  0.5000  0.1574

E_tot: -30.45 eV/cell
Symmetry: I4mm
Calculated formation energy: 0.0518 eV/atom
Polymorph energy (0 for the lowest one): 223 meV per atom
Crystal system: tetragonal


Entry 16:
Below is an optimized crystal structure of Ag3BiPd4, with properties calculated at the GGA-PBE level.

Cell: 15.7663 4.2976 4.2980 Å, 90.00 105.69 90.00°
Atoms (fractional coordinates):
Ag  0.0000  0.0000  0.0000
Ag  0.2487  0.0000  0.2486
Ag  0.2513  0.5000  0.7514
Ag  0.5000  0.5000  0.0000
Ag  0.7487  0.5000  0.2486
Ag  0.7513  0.0000  0.7514
Bi  0.0000  0.5000  0.5000
Bi  0.5000  0.0000  0.5000
Pd  0.1262  0.0000  0.6262
Pd  0.1262  0.5000  0.1264
Pd  0.3738  0.0000  0.8736
Pd  0.3738  0.5000  0.3738
Pd  0.6262  0.0000  0.1264
Pd  0.6262  0.5000  0.6262
Pd  0.8738  0.0000  0.3738
Pd  0.8738  0.5000  0.8736

E_tot: -68.18 eV/cell
Symmetry: C2/m
Calculated formation energy: -0.1102 eV/atom
Polymorph energy (0 for the lowest one): 0 meV per atom
Crystal system: monoclinic


Entry 17:
Below is an optimized crystal structure of TbSc8Sn6, with properties calculated at the GGA-PBE level.

Cell: 7.9098 7.9098 7.9098 Å, 65.80 65.80 65.80°
Atoms (fractional coordinates):
Tb  0.0000  0.0000  0.0000
Sc  0.1061  0.7748  0.4363
Sc  0.2252  0.5637  0.8939
Sc  0.3331  0.3331  0.3331
Sc  0.4363  0.1061  0.7748
Sc  0.5637  0.8939  0.2252
Sc  0.6669  0.6669  0.6669
Sc  0.7748  0.4363  0.1061
Sc  0.8939  0.2252  0.5637
Sn  0.0689  0.4094  0.7285
Sn  0.2715  0.9311  0.5906
Sn  0.4094  0.7285  0.0689
Sn  0.5906  0.2715  0.9311
Sn  0.7285  0.0689  0.4094
Sn  0.9311  0.5906  0.2715

E_tot: -86.29 eV/cell
Symmetry: R-3
Calculated formation energy: -0.4658 eV/atom
Crystal system: trigonal


Entry 18:
Below is an optimized crystal structure of Pu3UTl3Se8, with properties calculated at the GGA-PBE level.

Cell: 9.1596 9.1596 9.1596 Å, 54.76 54.76 54.76°
Atoms (fractional coordinates):
Pu  0.0000  0.5000  0.5000
Pu  0.5000  0.0000  0.5000
Pu  0.5000  0.5000  0.0000
U  0.0000  0.0000  0.0000
Tl  0.0000  0.0000  0.5000
Tl  0.0000  0.5000  0.0000
Tl  0.5000  0.0000  0.0000
Se  0.2288  0.2288  0.7421
Se  0.2288  0.7421  0.2288
Se  0.2579  0.7712  0.7712
Se  0.2658  0.2658  0.2658
Se  0.7342  0.7342  0.7342
Se  0.7421  0.2288  0.2288
Se  0.7712  0.2579  0.7712
Se  0.7712  0.7712  0.2579

E_tot: -106.22 eV/cell
Symmetry: R-3m
Formation energy (no corrections): -1.131 eV/atom
Crystal system: trigonal


Entry 19:
Below is an optimized crystal structure of Nd2Tm2Hg, with properties calculated at the GGA-PBE level.

Cell: 3.6009 3.6009 23.2231 Å, 90.00 90.00 90.00°
Atoms (fractional coordinates):
Nd  0.0000  0.0000  0.1924
Nd  0.0000  0.0000  0.8076
Nd  0.5000  0.5000  0.3076
Nd  0.5000  0.5000  0.6924
Tm  0.0000  0.0000  0.4170
Tm  0.0000  0.0000  0.5830
Tm  0.5000  0.5000  0.0830
Tm  0.5000  0.5000  0.9170
Hg  0.0000  0.0000  0.0000
Hg  0.5000  0.5000  0.5000

E_tot: -39.36 eV/cell
Symmetry: I4/mmm
Calculated formation energy: -0.1801 eV/atom
Polymorph energy (0 for the lowest one): 0 meV per atom
Crystal system: tetragonal


Entry 20:
Below is an optimized crystal structure of K2Te2Br, with properties calculated at the GGA-PBE level.

Cell: 8.9649 8.9649 4.9558 Å, 90.00 90.00 90.00°
Atoms (fractional coordinates):
K  0.1878  0.3122  0.0000
K  0.3122  0.8122  0.0000
K  0.6878  0.1878  0.0000
K  0.8122  0.6878  0.0000
Te  0.1072  0.6072  0.5000
Te  0.3928  0.1072  0.5000
Te  0.6072  0.8928  0.5000
Te  0.8928  0.3928  0.5000
Br  0.0000  0.0000  0.5000
Br  0.5000  0.5000  0.5000

E_tot: -28.19 eV/cell
Symmetry: P4/mbm
Formation energy (no corrections): -0.789 eV/atom
Polymorph energy (0 for the lowest one): 224 meV per atom
Crystal system: tetragonal


Entry 21:
Below is an optimized crystal structure of Ba2SbAs, with properties calculated at the GGA-PBE level.

Cell: 9.1483 9.1483 7.1474 Å, 90.00 90.00 90.00°
Atoms (fractional coordinates):
Ba  0.2232  0.2500  0.1250
Ba  0.2500  0.7232  0.3750
Ba  0.2500  0.7768  0.8750
Ba  0.2768  0.2500  0.6250
Ba  0.7232  0.7500  0.6250
Ba  0.7500  0.2232  0.8750
Ba  0.7500  0.2768  0.3750
Ba  0.7768  0.7500  0.1250
Sb  0.0000  0.0000  0.5000
Sb  0.0000  0.5000  0.7500
Sb  0.5000  0.0000  0.2500
Sb  0.5000  0.5000  0.0000
As  0.0000  0.0000  0.0000
As  0.0000  0.5000  0.2500
As  0.5000  0.0000  0.7500
As  0.5000  0.5000  0.5000

E_tot: -61.40 eV/cell
Symmetry: I-42d
Formation energy (no corrections): -0.683 eV/atom
Polymorph energy (0 for the lowest one): 269 meV per atom
Crystal system: tetragonal


Entry 22:
Below is an optimized crystal structure of YSc2Ga4, with properties calculated at the GGA-PBE level.

Cell: 4.0037 4.0698 17.7036 Å, 90.00 90.00 90.00°
Atoms (fractional coordinates):
Y  0.0000  0.0000  0.0000
Y  0.5000  0.5000  0.5000
Sc  0.0000  0.5000  0.1873
Sc  0.0000  0.5000  0.8127
Sc  0.5000  0.0000  0.3127
Sc  0.5000  0.0000  0.6873
Ga  0.0000  0.0000  0.4301
Ga  0.0000  0.0000  0.5699
Ga  0.0000  0.5000  0.3472
Ga  0.0000  0.5000  0.6528
Ga  0.5000  0.0000  0.1528
Ga  0.5000  0.0000  0.8472
Ga  0.5000  0.5000  0.0699
Ga  0.5000  0.5000  0.9301

E_tot: -71.13 eV/cell
Symmetry: Immm
Calculated formation energy: -0.6185 eV/atom
Crystal system: orthorhombic


Entry 23:
Below is an optimized crystal structure of PrHoNiAu, with properties calculated at the GGA-PBE level.

Cell: 7.1519 7.1519 7.1519 Å, 90.00 90.00 90.00°
Atoms (fractional coordinates):
Pr  0.0000  0.0000  0.0000
Pr  0.0000  0.5000  0.5000
Pr  0.5000  0.0000  0.5000
Pr  0.5000  0.5000  0.0000
Ho  0.0000  0.0000  0.5000
Ho  0.0000  0.5000  0.0000
Ho  0.5000  0.0000  0.0000
Ho  0.5000  0.5000  0.5000
Ni  0.2500  0.2500  0.7500
Ni  0.2500  0.7500  0.2500
Ni  0.7500  0.2500  0.2500
Ni  0.7500  0.7500  0.7500
Au  0.2500  0.2500  0.2500
Au  0.2500  0.7500  0.7500
Au  0.7500  0.2500  0.7500
Au  0.7500  0.7500  0.2500

E_tot: -81.77 eV/cell
Symmetry: F-43m
Calculated formation energy: -0.5067 eV/atom
Crystal system: cubic


Entry 24:
Below is an optimized crystal structure of Ho2TlBr, with properties calculated at the GGA-PBE level.

Cell: 4.4215 4.4215 20.3278 Å, 90.00 90.00 120.00°
Atoms (fractional coordinates):
Ho  0.0000  0.0000  0.2441
Ho  0.0000  0.0000  0.7559
Ho  0.3333  0.6667  0.4225
Ho  0.3333  0.6667  0.9108
Ho  0.6667  0.3333  0.0892
Ho  0.6667  0.3333  0.5775
Tl  0.0000  0.0000  0.5000
Tl  0.3333  0.6667  0.1667
Tl  0.6667  0.3333  0.8333
Br  0.0000  0.0000  0.0000
Br  0.3333  0.6667  0.6667
Br  0.6667  0.3333  0.3333

E_tot: -46.44 eV/cell
Symmetry: R-3m
Formation energy (no corrections): -0.571 eV/atom
Polymorph energy (0 for the lowest one): 0 meV per atom
Crystal system: trigonal